First-principles (GGA-PBE) data for an optimized crystal structure of FeRe3I, as listed in the Alexandria database.

Cell and atoms, written as CIF:
```
data_FeRe3I
_chemical_formula_sum 'Fe1 Re3 I1'
_cell_length_a 4.519
_cell_length_b 4.519
_cell_length_c 4.519
_cell_angle_alpha 90.00
_cell_angle_beta 90.00
_cell_angle_gamma 90.00
_symmetry_space_group_name_H-M 'P m -3 m'
_symmetry_Int_Tables_number 221
_symmetry_space_group_name_Hall '-P 4 2 3'
loop_
_atom_site_label
_atom_site_type_symbol
_atom_site_fract_x
_atom_site_fract_y
_atom_site_fract_z
Fe1 Fe 0.000 0.000 0.000
Re1 Re 0.000 0.000 0.500
I1 I 0.500 0.500 0.500
```

Calculated values
The value obtained for the relative energy among the computed polymorphs is 0 meV/atom.

---

First-principles (GGA-PBE) data for an optimized crystal structure of CdTe, as listed in the Alexandria database.

Cell and atoms, written as CIF:
```
data_CdTe
_chemical_formula_sum 'Cd6 Te6'
_cell_length_a 8.896
_cell_length_b 9.330
_cell_length_c 4.413
_cell_angle_alpha 90.00
_cell_angle_beta 90.00
_cell_angle_gamma 90.00
_symmetry_space_group_name_H-M 'C m m m'
_symmetry_Int_Tables_number 65
_symmetry_space_group_name_Hall '-C 2 2'
loop_
_atom_site_label
_atom_site_type_symbol
_atom_site_fract_x
_atom_site_fract_y
_atom_site_fract_z
Cd1 Cd 0.000 0.000 0.000
Cd2 Cd 0.239 0.000 0.500
Te1 Te 0.000 0.500 0.000
Te2 Te 0.250 0.250 0.000
```

---

Q: Which N(E_F) values were calculated for the entries above? A: 1.280, 0.318, in states/eV/atom.
Q: Which formation energy from raw total energies values were calculated for the entries above? A: 9.7, 0.0, in eV/f.u..
Q: Which size of the total moment values were calculated for the entries above? A: 0.0, 0.0, in Bohr magnetons per cell.